# 1
# Y3Cd2Hg

Y3Cd2Hg after structural relaxation (PBE, Alexandria via LeMat-Bulk).

## Properties
formation enthalpy at 0 K: -2.44 eV/f.u.
ρ: 7.30 g cm⁻³

POSCAR file:
```
Y3Cd2Hg
1.0
3.745 0.000 0.000
0.000 3.745 0.000
0.000 0.000 11.220
Y Cd Hg
3 2 1
Cartesian
0.000 0.000 0.000 Y
0.000 0.000 3.765 Y
0.000 0.000 7.455 Y
1.873 1.873 1.857 Cd
1.873 1.873 9.363 Cd
1.873 1.873 5.610 Hg
```

***

# 2
# PAuF3

PAuF3 after structural relaxation (PBE, Alexandria via LeMat-Bulk).

## Properties
ΔE_f (raw): -3.3 eV per formula unit
ρ: 6.56 g cm⁻³

POSCAR file:
```
PAuF3
1.0
4.163 0.000 0.000
0.000 4.163 0.000
0.000 0.000 4.163
P Au F
1 1 3
Cartesian
0.000 0.000 0.000 P
2.081 2.081 2.081 Au
0.000 0.000 2.081 F
0.000 2.081 0.000 F
2.081 0.000 0.000 F
```

***

> ρ of number 1 (Y3Cd2Hg)?

7.30 g cm⁻³